This record from Alexandria describes a relaxed structure of MgIn2As2. The functional is PBE.

## Properties
The density of states at the Fermi level comes out at 0.430 states/eV per atom. As for the space group: I4/mmm, No. 139. The value obtained for the volume is 25.51 Å³/atom. Its relative energy among the computed polymorphs is 158 meV per atom. As for the energy relative to the elements: 0.099 eV per atom.

Cell lengths 5.848, 5.848, 5.848 Å; angles 125.59, 125.59, 80.57 degrees
Fractional coordinates of all 5 atoms:
Mg (0.000, 0.000, 0.000)
In (0.344, 0.344, 0.000)
In (0.656, 0.656, 0.000)
As (0.250, 0.750, 0.500)
As (0.750, 0.250, 0.500)